Entry 1:
CaAlAgF6: relaxed, PBE.

extended XYZ file:
```
18
Lattice="5.6451 0.0000 0.0000 -2.8225 4.8888 0.0000 0.0000 0.0000 9.6043" Properties=species:S:1:pos:R:3 pbc="T T T"
Ca 0.0000 3.2592 2.4011
Ca 2.8225 1.6296 7.2032
Al 0.0000 3.2592 7.2032
Al 2.8225 1.6296 2.4011
Ag 0.0000 0.0000 0.0000
Ag 0.0000 0.0000 4.8021
F -0.8066 1.9660 6.1760
F -1.5232 3.2073 8.2304
F 0.8066 1.9660 8.2304
F -0.7166 4.6043 6.1760
F 2.1059 0.2845 1.3739
F 1.2993 1.6815 3.4282
F 1.5232 3.2073 6.1760
F 0.7166 4.6043 8.2304
F 3.5392 0.2845 3.4282
F 2.0160 2.9228 1.3739
F 4.3458 1.6815 1.3739
F 3.6291 2.9228 3.4282
```

electronic total energy = -0.3891 Ry/atom
E_form (uncorrected) = -2684.5 kJ/mol of formula units


Entry 2:
Hf3CdC: relaxed, PBE.

extended XYZ file:
```
10
Lattice="5.6208 0.0000 0.0000 1.0118 5.6295 0.0000 0.3400 2.2704 5.9304" Properties=species:S:1:pos:R:3 pbc="T T T"
Hf 0.0000 0.0000 0.0000
Hf 0.4208 1.4049 2.9749
Hf 2.1749 4.8042 5.2552
Hf 3.2457 1.8497 4.3479
Hf 4.6975 3.0686 0.6968
Hf 5.1848 4.4055 3.6949
Cd 2.1672 3.9173 2.1106
Cd 4.0142 6.1782 1.4784
C 1.3814 3.0793 4.1421
C 6.0586 6.1706 4.7990
```

electronic total energy = -0.6091 Ry/atom
energy relative to the lowest polymorph listed for this composition = 147 meV per atom
ΔH_f (0 K) = -0.29 eV per atom


Entry 3:
TbPuPtRh: relaxed, PBE.

extended XYZ file:
```
16
Lattice="6.9456 0.0000 0.0000 0.0000 6.9456 0.0000 0.0000 0.0000 6.9456" Properties=species:S:1:pos:R:3 pbc="T T T"
Tb 0.0000 0.0000 0.0000
Tb 0.0000 3.4728 3.4728
Tb 3.4728 0.0000 3.4728
Tb 3.4728 3.4728 0.0000
Pu 0.0000 0.0000 3.4728
Pu 0.0000 3.4728 0.0000
Pu 3.4728 0.0000 0.0000
Pu 3.4728 3.4728 3.4728
Pt 1.7364 1.7364 1.7364
Pt 1.7364 5.2092 5.2092
Pt 5.2092 1.7364 5.2092
Pt 5.2092 5.2092 1.7364
Rh 1.7364 1.7364 5.2092
Rh 1.7364 5.2092 1.7364
Rh 5.2092 1.7364 1.7364
Rh 5.2092 5.2092 5.2092
```

electronic total energy = -0.6512 Ry/atom
energy relative to the lowest polymorph listed for this composition = 70 meV per atom
ΔH_f (0 K) = -0.77 eV per atom


Entry 4:
YSiPt2: relaxed, PBE.

extended XYZ file:
```
8
Lattice="3.9758 0.0000 0.0000 0.0000 5.0672 0.0000 0.0000 0.0000 7.3837" Properties=species:S:1:pos:R:3 pbc="T T T"
Y 0.0000 0.0000 0.0000
Y 1.9879 2.5336 3.6918
Si 0.0000 0.0000 3.6918
Si 1.9879 2.5336 0.0000
Pt 0.0000 2.5336 1.4790
Pt 0.0000 2.5336 5.9047
Pt 1.9879 0.0000 2.2128
Pt 1.9879 0.0000 5.1708
```

electronic total energy = -0.5009 Ry/atom
E_form (uncorrected) = -317.7 kJ/mol of formula units


Entry 5:
ErAgHg3: relaxed, PBE.

extended XYZ file:
```
15
Lattice="7.0015 0.0000 0.0000 0.0000 7.0015 0.0000 0.0000 0.0000 7.0015" Properties=species:S:1:pos:R:3 pbc="T T T"
Er 0.0000 0.0000 3.5007
Er 0.0000 3.5007 0.0000
Er 3.5007 0.0000 0.0000
Ag 0.0000 3.5007 3.5007
Ag 3.5007 0.0000 3.5007
Ag 3.5007 3.5007 0.0000
Hg 0.0000 0.0000 0.0000
Hg 1.8981 1.8981 1.8981
Hg 1.8981 1.8981 5.1034
Hg 1.8981 5.1034 1.8981
Hg 1.8981 5.1034 5.1034
Hg 5.1034 1.8981 1.8981
Hg 5.1034 1.8981 5.1034
Hg 5.1034 5.1034 1.8981
Hg 5.1034 5.1034 5.1034
```

electronic total energy = -0.1410 Ry/atom
energy relative to the lowest polymorph listed for this composition = 0 meV per atom
ΔH_f (0 K) = -0.25 eV per atom


Entry 6:
LiPmDyAl: relaxed, PBE.

extended XYZ file:
```
16
Lattice="7.3743 0.0000 0.0000 0.0000 7.3743 0.0000 0.0000 0.0000 7.3743" Properties=species:S:1:pos:R:3 pbc="T T T"
Li 0.0000 0.0000 0.0000
Li 0.0000 3.6871 3.6871
Li 3.6871 0.0000 3.6871
Li 3.6871 3.6871 0.0000
Pm 1.8436 1.8436 5.5307
Pm 1.8436 5.5307 1.8436
Pm 5.5307 1.8436 1.8436
Pm 5.5307 5.5307 5.5307
Dy 1.8436 1.8436 1.8436
Dy 1.8436 5.5307 5.5307
Dy 5.5307 1.8436 5.5307
Dy 5.5307 5.5307 1.8436
Al 0.0000 0.0000 3.6871
Al 0.0000 3.6871 0.0000
Al 3.6871 0.0000 0.0000
Al 3.6871 3.6871 3.6871
```

electronic total energy = -0.2906 Ry/atom
ΔH_f (0 K) = -0.20 eV per atom


Entry 7:
AcNiGe2Os: relaxed, PBE.

extended XYZ file:
```
10
Lattice="4.1968 0.0000 0.0000 0.0000 4.1968 0.0000 0.0000 0.0000 11.1061" Properties=species:S:1:pos:R:3 pbc="T T T"
Ac 0.0000 0.0000 0.0000
Ac 2.0984 2.0984 5.5530
Ni 0.0000 2.0984 8.3296
Ni 2.0984 0.0000 2.7765
Ge 0.0000 0.0000 4.0459
Ge 0.0000 0.0000 7.0602
Ge 2.0984 2.0984 1.5072
Ge 2.0984 2.0984 9.5989
Os 0.0000 2.0984 2.7765
Os 2.0984 0.0000 8.3296
```

electronic total energy = -0.4794 Ry/atom
ΔH_f (0 K) = -0.45 eV per atom


Entry 8:
TlCdPd4: relaxed, PBE.

extended XYZ file:
```
12
Lattice="5.5791 0.0000 0.0000 0.0000 7.7681 0.0000 -2.4360 0.0000 5.0112" Properties=species:S:1:pos:R:3 pbc="T T T"
Tl 0.0000 0.0000 0.0000
Tl 2.7895 3.8841 0.0000
Cd -1.2180 3.8841 2.5056
Cd 1.5715 0.0000 2.5056
Pd -0.4392 1.4854 3.7436
Pd -0.4392 6.2827 3.7436
Pd 0.7928 2.3986 1.2676
Pd 0.7928 5.3695 1.2676
Pd 2.3503 2.3986 3.7436
Pd 2.3503 5.3695 3.7436
Pd 3.5823 1.4854 1.2676
Pd 3.5823 6.2827 1.2676
```

electronic total energy = -0.3038 Ry/atom
energy relative to the lowest polymorph listed for this composition = 56 meV per atom
ΔH_f (0 K) = -0.12 eV per atom


Entry 9:
CeH6Rh3: relaxed, PBE.

extended XYZ file:
```
10
Lattice="4.9462 0.0000 0.0000 2.4715 4.2851 0.0000 0.0006 2.8522 4.4780" Properties=species:S:1:pos:R:3 pbc="T T T"
Ce 0.0000 0.0000 0.0000
H 0.9871 1.3963 1.8978
H 2.4161 2.8691 3.9933
H 3.1864 2.7250 1.8908
H 3.7193 4.9329 3.9866
H 5.7043 4.4409 1.8895
H 6.2247 5.0365 3.9937
Rh 2.4683 4.2786 2.8822
Rh 4.9454 5.7096 2.9941
Rh 4.9435 2.8522 1.8552
```

electronic total energy = -0.3762 Ry/atom


Entry 10:
LaPm2Au4: relaxed, PBE.

extended XYZ file:
```
7
Lattice="5.2399 0.0000 0.0000 0.0000 5.2399 0.0000 0.0000 0.0000 6.9641" Properties=species:S:1:pos:R:3 pbc="T T T"
La 0.0000 0.0000 0.0000
Pm 0.0000 0.0000 3.4820
Pm 2.6200 2.6200 0.0000
Au 0.0000 2.6200 1.7686
Au 0.0000 2.6200 5.1955
Au 2.6200 0.0000 1.7686
Au 2.6200 0.0000 5.1955
```

electronic total energy = -0.3327 Ry/atom
ΔH_f (0 K) = -0.59 eV per atom


Entry 11:
SrTl2RhAu: relaxed, PBE.

extended XYZ file:
```
5
Lattice="5.2283 0.0000 0.0000 0.0000 5.2283 0.0000 0.0000 0.0000 5.6804" Properties=species:S:1:pos:R:3 pbc="T T T"
Sr 0.0000 0.0000 0.0000
Tl 0.0000 2.6141 2.8402
Tl 2.6141 0.0000 2.8402
Rh 0.0000 0.0000 2.8402
Au 2.6141 2.6141 0.0000
```

electronic total energy = -0.2619 Ry/atom
energy relative to the lowest polymorph listed for this composition = 0 meV per atom
ΔH_f (0 K) = -0.16 eV per atom


Entry 12:
Ge2IrRh: relaxed, PBE.

extended XYZ file:
```
16
Lattice="6.1820 0.0000 0.0000 0.0000 6.1820 0.0000 0.0000 0.0000 6.1820" Properties=species:S:1:pos:R:3 pbc="T T T"
Ge 1.5455 1.5455 1.5455
Ge 1.5455 1.5455 4.6365
Ge 1.5455 4.6365 1.5455
Ge 1.5455 4.6365 4.6365
Ge 4.6365 1.5455 1.5455
Ge 4.6365 1.5455 4.6365
Ge 4.6365 4.6365 1.5455
Ge 4.6365 4.6365 4.6365
Ir 0.0000 0.0000 0.0000
Ir 0.0000 3.0910 3.0910
Ir 3.0910 0.0000 3.0910
Ir 3.0910 3.0910 0.0000
Rh 0.0000 0.0000 3.0910
Rh 0.0000 3.0910 0.0000
Rh 3.0910 0.0000 0.0000
Rh 3.0910 3.0910 3.0910
```

electronic total energy = -0.4788 Ry/atom
energy relative to the lowest polymorph listed for this composition = 108 meV per atom
ΔH_f (0 K) = -0.15 eV per atom


Entry 13:
MnMoBr4: relaxed, PBE.

extended XYZ file:
```
6
Lattice="0.0000 4.4505 4.4505 4.4505 0.0000 4.4505 4.4505 4.4505 0.0000" Properties=species:S:1:pos:R:3 pbc="T T T"
Mn 0.0000 0.0000 0.0000
Mo 6.6758 6.6758 6.6758
Br 3.3351 3.3351 3.3351
Br 5.5660 5.5660 3.3351
Br 5.5660 3.3351 5.5660
Br 3.3351 5.5660 5.5660
```

electronic total energy = -0.2330 Ry/atom
E_form (uncorrected) = 740.4 kJ/mol of formula units


Entry 14:
CdH3Ir: relaxed, PBE.

extended XYZ file:
```
5
Lattice="3.6022 0.0000 0.0000 0.0000 3.6022 0.0000 0.0000 0.0000 3.6022" Properties=species:S:1:pos:R:3 pbc="T T T"
Cd 0.0000 0.0000 0.0000
H 0.0000 1.8011 1.8011
H 1.8011 0.0000 1.8011
H 1.8011 1.8011 0.0000
Ir 1.8011 1.8011 1.8011
```

electronic total energy = -0.2821 Ry/atom
energy relative to the lowest polymorph listed for this composition = 79 meV per atom


Entry 15:
TmInAs: relaxed, PBE.

extended XYZ file:
```
6
Lattice="2.4344 1.4055 8.3077 -2.4344 1.4055 8.3077 0.0000 -2.8110 8.3077" Properties=species:S:1:pos:R:3 pbc="T T T"
Tm 0.0000 0.0000 2.5947
Tm 0.0000 0.0000 22.3282
In 0.0000 0.0000 8.1680
In 0.0000 0.0000 16.7550
As 0.0000 0.0000 5.4016
As 0.0000 0.0000 19.5213
```

electronic total energy = -0.3355 Ry/atom
ΔH_f (0 K) = -0.61 eV per atom


Entry 16:
Bi2As2Pd7Au: relaxed, PBE.

extended XYZ file:
```
12
Lattice="2.8714 -2.8568 0.0000 2.8714 2.8568 0.0000 -1.7311 0.0000 14.0804" Properties=species:S:1:pos:R:3 pbc="T T T"
Bi 0.0443 0.0000 5.4735
Bi 3.9674 0.0000 8.6069
As 1.1421 0.0000 10.6140
As 2.8696 0.0000 3.4664
Pd 1.4316 1.4276 2.0367
Pd 1.0397 0.0000 8.0899
Pd 2.5801 1.4276 12.0438
Pd 2.8714 0.0000 0.0000
Pd 1.4316 -1.4276 2.0367
Pd 2.9720 0.0000 5.9906
Pd 2.5801 -1.4276 12.0438
Au 0.0000 0.0000 0.0000
```

electronic total energy = -0.3625 Ry/atom
ΔH_f (0 K) = -0.21 eV per atom


Entry 17:
KIrN: relaxed, PBE.

extended XYZ file:
```
3
Lattice="3.2700 0.0000 0.0000 -1.6350 2.8319 0.0000 0.0000 0.0000 5.6521" Properties=species:S:1:pos:R:3 pbc="T T T"
K 0.0000 0.0000 0.0000
Ir 1.6350 0.9440 2.9112
N 0.0000 1.8879 3.5446
```

electronic total energy = -0.4257 Ry/atom
E_form (uncorrected) = 87.6 kJ/mol of formula units
energy relative to the lowest polymorph listed for this composition = 0 meV per atom


Entry 18:
SrLaAl: relaxed, PBE.

extended XYZ file:
```
12
Lattice="17.2766 0.0000 0.0000 0.0000 5.5883 0.0000 -0.0014 0.0000 4.0344" Properties=species:S:1:pos:R:3 pbc="T T T"
Sr 0.0000 5.5871 0.0000
Sr -0.0007 2.7941 2.0172
Sr 8.6376 0.0000 2.0172
Sr 8.6383 2.7930 0.0000
La 3.2266 0.0074 2.0323
La 5.4103 2.8016 2.0021
La 11.8649 2.8016 2.0323
La 14.0485 0.0074 2.0021
Al 2.6669 2.8023 4.0337
Al 5.9700 0.0082 0.0007
Al 11.3052 0.0082 4.0337
Al 14.6083 2.8023 0.0007
```

electronic total energy = -0.2564 Ry/atom
energy relative to the lowest polymorph listed for this composition = 168 meV per atom
ΔH_f (0 K) = -0.04 eV per atom


Entry 19:
CdRhC2N: relaxed, PBE.

extended XYZ file:
```
5
Lattice="3.7850 0.0000 0.0000 0.0000 3.7850 0.0000 0.0000 0.0000 4.2039" Properties=species:S:1:pos:R:3 pbc="T T T"
Cd 0.0000 0.0000 0.0000
Rh 1.8925 1.8925 0.0000
C 0.0000 1.8925 2.1019
C 1.8925 0.0000 2.1019
N 0.0000 0.0000 2.1019
```

electronic total energy = -0.3187 Ry/atom
E_form (uncorrected) = 1289.1 kJ/mol of formula units


Entry 20:
Ba2HCl: relaxed, PBE.

extended XYZ file:
```
12
Lattice="4.2875 0.0000 0.0000 -2.1438 3.7131 0.0000 0.0000 0.0000 23.2831" Properties=species:S:1:pos:R:3 pbc="T T T"
Ba 0.0000 0.0000 0.0000
Ba 0.0000 0.0000 4.5435
Ba 0.0000 2.4754 15.5221
Ba 0.0000 2.4754 20.0656
Ba 2.1438 1.2377 7.7610
Ba 2.1438 1.2377 12.3046
H 0.0000 0.0000 13.8503
H 0.0000 2.4754 6.0892
H 2.1438 1.2377 21.6113
Cl 0.0000 0.0000 17.7828
Cl 0.0000 2.4754 10.0217
Cl 2.1438 1.2377 2.2607
```

electronic total energy = -0.2399 Ry/atom
energy relative to the lowest polymorph listed for this composition = 2 meV per atom


Entry 21:
LiZr2S2: relaxed, PBE.

extended XYZ file:
```
10
Lattice="7.0643 0.0000 0.0000 0.0000 7.0643 0.0000 0.0000 0.0000 3.4050" Properties=species:S:1:pos:R:3 pbc="T T T"
Li 0.0000 0.0000 0.0000
Li 3.5322 3.5322 0.0000
Zr 1.0682 2.4640 1.7025
Zr 2.4640 5.9962 1.7025
Zr 4.6003 1.0682 1.7025
Zr 5.9962 4.6003 1.7025
S 1.0321 4.5643 0.0000
S 2.5000 1.0321 0.0000
S 4.5643 6.0322 0.0000
S 6.0322 2.5000 0.0000
```

electronic total energy = -0.4804 Ry/atom
E_form (uncorrected) = -522.4 kJ/mol of formula units
energy relative to the lowest polymorph listed for this composition = 0 meV per atom


Entry 22:
ZrWBr2: relaxed, PBE.

extended XYZ file:
```
4
Lattice="3.6828 0.0000 0.0000 0.0000 4.5455 0.0000 -0.0317 0.0000 4.9898" Properties=species:S:1:pos:R:3 pbc="T T T"
Zr 0.0000 0.0000 0.0000
W 1.8256 0.0000 2.4949
Br 0.9409 2.2727 3.6838
Br 2.7102 2.2727 1.3060
```

electronic total energy = -0.4163 Ry/atom
E_form (uncorrected) = 211.2 kJ/mol of formula units
energy relative to the lowest polymorph listed for this composition = 615 meV per atom


Entry 23:
RuPb2Br: relaxed, PBE.

extended XYZ file:
```
16
Lattice="7.3622 0.0000 0.0000 0.0000 7.3622 0.0000 0.0000 0.0000 7.3622" Properties=species:S:1:pos:R:3 pbc="T T T"
Ru 0.0000 0.0000 0.0000
Ru 0.0000 3.6811 3.6811
Ru 3.6811 0.0000 3.6811
Ru 3.6811 3.6811 0.0000
Pb 1.8405 1.8405 1.8405
Pb 1.8405 1.8405 5.5216
Pb 1.8405 5.5216 1.8405
Pb 1.8405 5.5216 5.5216
Pb 5.5216 1.8405 1.8405
Pb 5.5216 1.8405 5.5216
Pb 5.5216 5.5216 1.8405
Pb 5.5216 5.5216 5.5216
Br 0.0000 0.0000 3.6811
Br 0.0000 3.6811 0.0000
Br 3.6811 0.0000 0.0000
Br 3.6811 3.6811 3.6811
```

electronic total energy = -0.2920 Ry/atom
E_form (uncorrected) = 238.9 kJ/mol of formula units
energy relative to the lowest polymorph listed for this composition = 492 meV per atom


Entry 24:
TeRhBr2: relaxed, PBE.

extended XYZ file:
```
8
Lattice="14.3209 0.0000 0.0000 0.0000 3.2410 0.0000 -1.8972 0.0000 4.8689" Properties=species:S:1:pos:R:3 pbc="T T T"
Te 0.0000 0.0000 0.0000
Te 7.1604 1.6205 0.0000
Rh -0.9486 1.6205 2.4344
Rh 6.2118 0.0000 2.4344
Br 0.8838 0.0000 3.1487
Br 4.3794 1.6205 1.7202
Br 8.0442 1.6205 3.1487
Br 11.5399 0.0000 1.7202
```

electronic total energy = -0.2500 Ry/atom
E_form (uncorrected) = 22.6 kJ/mol of formula units


Entry 25:
TiInTeI2: relaxed, PBE.

extended XYZ file:
```
5
Lattice="5.6678 0.0000 0.0000 0.0000 5.6678 0.0000 0.0000 0.0000 5.3806" Properties=species:S:1:pos:R:3 pbc="T T T"
Ti 0.0000 0.0000 0.0000
In 2.8339 2.8339 2.6903
Te 0.0000 0.0000 2.6903
I 0.0000 2.8339 0.0000
I 2.8339 0.0000 0.0000
```

electronic total energy = -0.2746 Ry/atom
E_form (uncorrected) = -174.4 kJ/mol of formula units
energy relative to the lowest polymorph listed for this composition = 0 meV per atom


Entry 26:
Be2NiTe: relaxed, PBE.

extended XYZ file:
```
16
Lattice="6.0783 0.0000 0.0000 0.0000 6.0783 0.0000 0.0000 0.0000 6.0783" Properties=species:S:1:pos:R:3 pbc="T T T"
Be 0.0000 0.0000 0.0000
Be 0.0000 3.0392 3.0392
Be 1.5196 1.5196 1.5196
Be 1.5196 4.5588 4.5588
Be 3.0392 0.0000 3.0392
Be 3.0392 3.0392 0.0000
Be 4.5588 1.5196 4.5588
Be 4.5588 4.5588 1.5196
Ni 0.0000 0.0000 3.0392
Ni 0.0000 3.0392 0.0000
Ni 3.0392 0.0000 0.0000
Ni 3.0392 3.0392 3.0392
Te 1.5196 1.5196 4.5588
Te 1.5196 4.5588 1.5196
Te 4.5588 1.5196 1.5196
Te 4.5588 4.5588 4.5588
```

electronic total energy = -0.2576 Ry/atom
E_form (uncorrected) = 227.4 kJ/mol of formula units


| no. | volume (Å³ per atom) |
| --- | --- |
| 1 | 14.73 |
| 2 | 18.77 |
| 3 | 20.94 |
| 4 | 18.59 |
| 5 | 22.88 |
| 6 | 25.06 |
| 7 | 19.56 |
| 8 | 18.10 |
| 9 | 9.49 |
| 10 | 27.32 |
| 11 | 31.05 |
| 12 | 14.77 |
| 13 | 29.38 |
| 14 | 9.35 |
| 15 | 28.42 |
| 16 | 19.25 |
| 17 | 17.45 |
| 18 | 32.46 |
| 19 | 12.05 |
| 20 | 30.89 |
| 21 | 16.99 |
| 22 | 20.88 |
| 23 | 24.94 |
| 24 | 28.25 |
| 25 | 34.57 |
| 26 | 14.04 |